[1]
## Tc2MoW (PBE-GGA)

Data for a relaxed structure of Tc2MoW.

POSCAR file:
```
Tc2MoW
1.0
2.7327 0.0000 0.0000
0.0000 4.3856 0.0000
-0.8952 0.0000 5.1305
Tc Mo W
2 1 1
Cartesian
0.3777 0.0000 1.2988
1.4597 0.0000 3.8317
1.3663 2.1928 0.0000
-0.4476 2.1928 2.5652
```

Computed properties:
energy relative to the lowest polymorph listed for this composition	32.8	meV per atom
space group	P2/m (10)
DFT formation energy	0.4	eV per formula unit

[2]
## TaSbRu2 (PBE-GGA)

Data for a relaxed structure of TaSbRu2.

POSCAR file:
```
TaSbRu2
1.0
3.1684 0.0000 0.0000
0.0000 3.1684 0.0000
0.0000 0.0000 6.8690
Ta Sb Ru
1 1 2
Cartesian
0.0000 0.0000 0.0000
0.0000 0.0000 3.4345
1.5842 1.5842 1.5165
1.5842 1.5842 5.3524
```

Computed properties:
raw formation energy	-0.462	eV/f.u.
space group	P4/mmm (123)

[3]
## CrTeOs2 (PBE-GGA)

Data for a relaxed structure of CrTeOs2.

POSCAR file:
```
CrTeOs2
1.0
2.9655 0.0000 0.0000
0.0000 2.9655 0.0000
0.0000 0.0000 7.1489
Cr Te Os
1 1 2
Cartesian
0.0000 0.0000 0.0000
0.0000 0.0000 3.5745
1.4828 1.4828 1.5214
1.4828 1.4828 5.6275
```

Computed properties:
raw formation energy	2.399	eV/f.u.
space group	P4/mmm (123)

[4]
## K2HfAs2O6 (PBE-GGA)

Data for a relaxed structure of K2HfAs2O6.

POSCAR file:
```
K2HfAs2O6
1.0
4.9748 -2.8719 0.0000
4.9748 2.8719 0.0000
-0.4214 0.0000 7.0620
K Hf As O
2 1 2 6
Cartesian
1.6573 0.0000 1.3680
7.8709 0.0000 5.6939
4.9748 0.0000 0.0000
1.2364 0.0000 5.0574
8.2918 0.0000 2.0046
4.1111 1.4985 1.1669
2.8234 0.0000 5.8981
5.4171 1.4985 5.8950
4.1111 -1.4985 1.1669
6.7048 0.0000 1.1639
5.4171 -1.4985 5.8950
```

Computed properties:
raw formation energy	-22.759	eV/f.u.
space group	C2/m (12)

[5]
## BeMoPt (PBE-GGA)

Data for a relaxed structure of BeMoPt.

POSCAR file:
```
BeMoPt
1.0
-2.0845 2.5161 3.8113
2.0845 -2.5161 3.8113
2.0845 2.5161 -3.8113
Be Mo Pt
2 2 2
Cartesian
0.0000 0.0000 1.2108
0.0000 0.0000 6.4119
2.0845 1.2124 0.0000
0.0000 1.3037 3.8113
2.0845 0.0000 2.4872
0.0000 2.5161 1.3241
```

Computed properties:
energy relative to the lowest polymorph listed for this composition	68.5	meV per atom
space group	Immm (71)
DFT formation energy	-1.0	eV per formula unit

[6]
## BeMoPb2 (PBE-GGA)

Data for a relaxed structure of BeMoPb2.

POSCAR file:
```
BeMoPb2
1.0
-3.8181 3.8181 2.9580
3.8181 -3.8181 2.9580
3.8181 3.8181 -2.9580
Be Mo Pb
2 2 4
Cartesian
0.0000 0.0000 0.0000
0.0000 3.8181 1.4790
3.8181 0.0000 1.4790
0.0000 0.0000 2.9580
5.7272 1.5758 -0.7395
1.5758 1.9091 0.7395
-1.9091 2.2423 2.2185
2.2423 1.9091 3.6975
```

Computed properties:
space group	I-42d (122)
DFT formation energy	4.2	eV per formula unit

no.,V (A^3/atom)
1,15.4
2,17.2
3,15.7
4,18.3
5,13.3
6,21.6